[1]
Computed, not measured: a relaxed structure of PaCuTc2 at the PBE-GGA level of DFT.

Geometry as POSCAR:
```
PaCuTc2
1.0
3.378 0.000 0.000
0.000 3.378 0.000
0.000 0.000 5.838
Pa Cu Tc
1 1 2
direct
0.000 0.000 0.000
0.000 0.000 0.500
0.500 0.500 0.255
0.500 0.500 0.745
```

## Properties
energy above the lowest structure with this stoichiometry	0.99	eV/f.u.
ΔE_f	0.159	eV/atom
Fermi-level density of states	7.02	states/eV/f.u.
VASP energy	-8.42	eV per atom
calculated volume	66.6	Å³/cell



[2]
Computed, not measured: a relaxed structure of Sb2Te at the PBE-GGA level of DFT.

Geometry as POSCAR:
```
Sb2Te
1.0
5.578 -2.031 0.000
5.578 2.031 0.000
-1.310 0.000 8.387
Sb Te
4 2
direct
0.000 0.000 0.000
0.042 0.042 0.354
0.384 0.384 0.710
0.695 0.695 0.027
0.339 0.339 0.343
0.671 0.671 0.671
```

## Properties
energy above the lowest structure with this stoichiometry	0.53	eV/f.u.
uncorrected formation energy	0.110	eV per atom
Fermi-level density of states	1.15	states/eV/f.u.
VASP energy	-3.69	eV per atom
calculated volume	190.1	Å³/cell



[3]
Computed, not measured: a relaxed structure of Ce2TmThN4 at the PBE-GGA level of DFT.

Geometry as POSCAR:
```
Ce2TmThN4
1.0
6.162 0.000 0.000
0.000 3.556 0.000
-2.033 0.000 5.818
Ce Tm Th N
2 1 1 4
direct
0.000 0.000 0.000
0.000 0.500 0.500
0.500 0.000 0.500
0.500 0.500 0.000
0.254 0.000 0.742
0.257 0.500 0.259
0.743 0.500 0.741
0.746 0.000 0.258
```

## Properties
uncorrected formation energy	-1.578	eV per atom
Fermi-level density of states	6.38	states/eV/f.u.
VASP energy	-8.71	eV per atom
calculated volume	127.5	Å³/cell



[4]
Computed, not measured: a relaxed structure of HPt2Au at the PBE-GGA level of DFT.

Geometry as POSCAR:
```
HPt2Au
1.0
0.000 3.079 3.079
3.079 0.000 3.079
3.079 3.079 0.000
H Pt Au
1 2 1
direct
0.000 0.000 0.000
0.250 0.250 0.250
0.750 0.750 0.750
0.500 0.500 0.500
```

## Properties
energy above the lowest structure with this stoichiometry	2.28	eV/f.u.
Fermi-level density of states	0.68	states/eV/f.u.
VASP energy	-4.02	eV per atom
calculated volume	58.4	Å³/cell



[5]
Computed, not measured: a relaxed structure of PrNdCo2 at the PBE-GGA level of DFT.

Geometry as POSCAR:
```
PrNdCo2
1.0
3.986 0.000 0.000
0.000 5.659 0.000
0.000 0.000 7.973
Pr Nd Co
2 2 4
direct
0.000 0.146 0.000
0.000 0.854 0.500
0.500 0.354 0.354
0.500 0.646 0.854
0.000 0.337 0.649
0.000 0.663 0.149
0.500 0.171 0.703
0.500 0.829 0.203
```

## Properties
energy above the lowest structure with this stoichiometry	0.00	eV/f.u.
ΔE_f	-0.042	eV/atom
Fermi-level density of states	4.74	states/eV/f.u.
VASP energy	-5.98	eV per atom
calculated volume	179.9	Å³/cell



[6]
Computed, not measured: a relaxed structure of Mn2NbGeC at the PBE-GGA level of DFT.

Geometry as POSCAR:
```
Mn2NbGeC
1.0
3.830 0.000 0.000
0.000 3.830 0.000
0.000 0.000 4.411
Mn Nb Ge C
2 1 1 1
direct
0.000 0.500 0.000
0.500 0.000 0.000
0.000 0.000 0.500
0.500 0.500 0.500
0.000 0.000 0.000
```

## Properties
ΔE_f	-0.120	eV/atom
Fermi-level density of states	3.70	states/eV/f.u.
VASP energy	-8.57	eV per atom
calculated volume	64.7	Å³/cell



[7]
Computed, not measured: a relaxed structure of HgPtW2 at the PBE-GGA level of DFT.

Geometry as POSCAR:
```
HgPtW2
1.0
2.782 0.000 0.000
0.000 2.782 0.000
0.000 0.000 8.680
Hg Pt W
1 1 2
direct
0.000 0.000 0.000
0.000 0.000 0.500
0.500 0.500 0.264
0.500 0.500 0.736
```

## Properties
ΔE_f	0.360	eV/atom
Fermi-level density of states	2.41	states/eV/f.u.
VASP energy	-7.70	eV per atom
calculated volume	67.2	Å³/cell



[8]
Computed, not measured: a relaxed structure of Sc6AuS4 at the PBE-GGA level of DFT.

Geometry as POSCAR:
```
Sc6AuS4
1.0
1.833 -6.078 0.000
1.833 6.078 0.000
0.000 0.000 18.825
Sc Au S
12 2 8
direct
0.000 0.000 0.000
0.000 0.000 0.500
0.162 0.838 0.750
0.274 0.726 0.086
0.274 0.726 0.414
0.453 0.547 0.662
0.453 0.547 0.838
0.547 0.453 0.162
0.547 0.453 0.338
0.726 0.274 0.586
0.726 0.274 0.914
0.838 0.162 0.250
0.163 0.837 0.250
0.837 0.163 0.750
0.089 0.911 0.624
0.089 0.911 0.876
0.361 0.639 0.540
0.361 0.639 0.960
0.639 0.361 0.040
0.639 0.361 0.460
0.911 0.089 0.124
0.911 0.089 0.376
```

## Properties
uncorrected formation energy	-1.553	eV per atom
Fermi-level density of states	5.79	states/eV/f.u.
VASP energy	-6.81	eV per atom
calculated volume	419.4	Å³/cell



[9]
Computed, not measured: a relaxed structure of BeTc2Ir at the PBE-GGA level of DFT.

Geometry as POSCAR:
```
BeTc2Ir
1.0
-1.474 2.083 4.242
1.474 -2.083 4.242
1.474 2.083 -4.242
Be Tc Ir
1 2 1
direct
0.000 0.000 0.000
0.232 0.732 0.500
0.768 0.268 0.500
0.500 0.500 0.000
```

## Properties
ΔE_f	-0.138	eV/atom
Fermi-level density of states	2.45	states/eV/f.u.
VASP energy	-8.47	eV per atom
calculated volume	52.1	Å³/cell



[10]
Computed, not measured: a relaxed structure of Tb6Ge3Se14 at the PBE-GGA level of DFT.

Geometry as POSCAR:
```
Tb6Ge3Se14
1.0
10.375 0.000 0.000
-5.187 8.985 0.000
0.000 0.000 6.144
Tb Ge Se
6 3 14
direct
0.026 0.556 0.000
0.308 0.111 0.507
0.444 0.471 0.000
0.529 0.974 0.000
0.803 0.692 0.507
0.889 0.197 0.507
0.000 0.000 0.927
0.333 0.667 0.419
0.667 0.333 0.291
0.000 0.000 0.312
0.090 0.850 0.760
0.150 0.240 0.760
0.183 0.427 0.253
0.244 0.817 0.253
0.333 0.667 0.804
0.408 0.178 0.052
0.506 0.435 0.546
0.565 0.071 0.546
0.573 0.756 0.253
0.760 0.910 0.760
0.769 0.592 0.052
0.822 0.231 0.052
0.929 0.494 0.546
```

## Properties
uncorrected formation energy	-1.299	eV per atom
VASP energy	-5.23	eV per atom
calculated volume	572.7	Å³/cell



[11]
Computed, not measured: a relaxed structure of MgZnCr2Fe at the PBE-GGA level of DFT.

Geometry as POSCAR:
```
MgZnCr2Fe
1.0
4.609 0.000 0.000
0.000 4.609 0.000
0.000 0.000 4.608
Mg Zn Cr Fe
1 1 2 1
direct
0.000 0.000 0.000
0.000 0.000 0.500
0.000 0.500 0.500
0.500 0.000 0.500
0.500 0.500 0.000
```

## Properties
energy above the lowest structure with this stoichiometry	0.00	eV/f.u.
ΔE_f	1.505	eV/atom
Fermi-level density of states	7.80	states/eV/f.u.
VASP energy	-4.61	eV per atom
calculated volume	97.9	Å³/cell



[12]
Computed, not measured: a relaxed structure of K2Y2Ti at the PBE-GGA level of DFT.

Geometry as POSCAR:
```
K2Y2Ti
1.0
7.637 0.000 0.000
0.000 7.637 0.000
0.000 0.000 7.082
K Y Ti
4 4 2
direct
0.182 0.318 0.000
0.318 0.818 0.000
0.682 0.182 0.000
0.818 0.682 0.000
0.169 0.669 0.500
0.331 0.169 0.500
0.669 0.831 0.500
0.831 0.331 0.500
0.000 0.000 0.500
0.500 0.500 0.500
```

## Properties
energy above the lowest structure with this stoichiometry	0.00	eV/f.u.
ΔE_f	0.769	eV/atom
Fermi-level density of states	6.81	states/eV/f.u.
VASP energy	-3.83	eV per atom
calculated volume	413.0	Å³/cell



[13]
Computed, not measured: a relaxed structure of CsAsI2N at the PBE-GGA level of DFT.

Geometry as POSCAR:
```
CsAsI2N
1.0
6.746 0.000 0.000
0.000 6.746 0.000
0.000 0.000 3.699
Cs As I N
1 1 2 1
direct
0.000 0.000 0.000
0.500 0.500 0.500
0.000 0.500 0.500
0.500 0.000 0.500
0.500 0.500 0.000
```

## Properties
energy above the lowest structure with this stoichiometry	0.00	eV/f.u.
uncorrected formation energy	0.003	eV per atom
Fermi-level density of states	2.04	states/eV/f.u.
VASP energy	-3.38	eV per atom
calculated volume	168.4	Å³/cell